[1]
# Tm4TlInB2

Tm4TlInB2 after structural relaxation (PBE-GGA, OQMD).

The structure in CIF format:
```
data_Tm4TlInB2
_symmetry_space_group_name_H-M 'P -6 m 2'
_symmetry_Int_Tables_number 187
_symmetry_space_group_name_Hall 'P -6 2'
_cell_length_a 3.5768
_cell_length_b 3.5768
_cell_length_c 16.6980
_cell_angle_alpha 90.00
_cell_angle_beta 90.00
_cell_angle_gamma 120.00
loop_
_atom_site_label
_atom_site_type_symbol
_atom_site_fract_x
_atom_site_fract_y
_atom_site_fract_z
_atom_site_occupancy
Tm1 Tm 0.0000 0.0000 0.1588 1
Tm2 Tm 0.3333 0.6667 0.3414 1
Tl1 Tl 0.3333 0.6667 0.0000 1
In1 In 0.0000 0.0000 0.5000 1
B1 B 0.6667 0.3333 0.2499 1
```

- Calculated total energy: -4.678 eV/atom
- Spin magnetization: 0.01 μB per formula unit
- Crystal system: hexagonal
- Calculated volume: 185 Å³/cell

=====

[2]
# YFeTe2

YFeTe2 after structural relaxation (PBE-GGA, OQMD).

The structure in CIF format:
```
data_YFeTe2
_symmetry_space_group_name_H-M 'F -4 3 m'
_symmetry_Int_Tables_number 216
_symmetry_space_group_name_Hall 'F -4 2 3'
_cell_length_a 7.2989
_cell_length_b 7.2989
_cell_length_c 7.2989
_cell_angle_alpha 90.00
_cell_angle_beta 90.00
_cell_angle_gamma 90.00
loop_
_atom_site_label
_atom_site_type_symbol
_atom_site_fract_x
_atom_site_fract_y
_atom_site_fract_z
_atom_site_occupancy
Y1 Y 0.0000 0.0000 0.0000 1
Fe1 Fe 0.2500 0.2500 0.2500 1
Te1 Te 0.0000 0.0000 0.5000 1
Te2 Te 0.2500 0.2500 0.7500 1
```

- Calculated total energy: -5.203 eV/atom
- Spin magnetization: 2.89 μB per formula unit
- Crystal system: cubic
- Calculated volume: 389 Å³/cell

=====

[3]
# GdMgAs

GdMgAs after structural relaxation (PBE-GGA, OQMD).

The structure in CIF format:
```
data_GdMgAs
_symmetry_space_group_name_H-M 'F -4 3 m'
_symmetry_Int_Tables_number 216
_symmetry_space_group_name_Hall 'F -4 2 3'
_cell_length_a 6.6670
_cell_length_b 6.6670
_cell_length_c 6.6670
_cell_angle_alpha 90.00
_cell_angle_beta 90.00
_cell_angle_gamma 90.00
loop_
_atom_site_label
_atom_site_type_symbol
_atom_site_fract_x
_atom_site_fract_y
_atom_site_fract_z
_atom_site_occupancy
Gd1 Gd 0.0000 0.0000 0.0000 1
Mg1 Mg 0.0000 0.0000 0.5000 1
As1 As 0.2500 0.2500 0.2500 1
```

- Calculated total energy: -4.138 eV/atom
- Spin magnetization: 0.00 μB per formula unit
- Crystal system: cubic
- Calculated volume: 296 Å³/cell

=====

[4]
# Ba2TlNiH6

Ba2TlNiH6 after structural relaxation (PBE-GGA, OQMD).

The structure in CIF format:
```
data_Ba2TlNiH6
_symmetry_space_group_name_H-M 'F m -3 m'
_symmetry_Int_Tables_number 225
_symmetry_space_group_name_Hall '-F 4 2 3'
_cell_length_a 8.1998
_cell_length_b 8.1998
_cell_length_c 8.1998
_cell_angle_alpha 90.00
_cell_angle_beta 90.00
_cell_angle_gamma 90.00
loop_
_atom_site_label
_atom_site_type_symbol
_atom_site_fract_x
_atom_site_fract_y
_atom_site_fract_z
_atom_site_occupancy
Ba1 Ba 0.2500 0.2500 0.2500 1
Tl1 Tl 0.0000 0.0000 0.0000 1
Ni1 Ni 0.0000 0.0000 0.5000 1
H1 H 0.0000 0.0000 0.3016 1
```

- Calculated total energy: -3.471 eV/atom
- Spin magnetization: 0.00 μB per formula unit
- Crystal system: cubic
- Calculated volume: 551 Å³/cell

=====

[5]
# ScFeCuSi

ScFeCuSi after structural relaxation (PBE-GGA, OQMD).

The structure in CIF format:
```
data_ScFeCuSi
_symmetry_space_group_name_H-M 'F -4 3 m'
_symmetry_Int_Tables_number 216
_symmetry_space_group_name_Hall 'F -4 2 3'
_cell_length_a 6.1322
_cell_length_b 6.1322
_cell_length_c 6.1322
_cell_angle_alpha 90.00
_cell_angle_beta 90.00
_cell_angle_gamma 90.00
loop_
_atom_site_label
_atom_site_type_symbol
_atom_site_fract_x
_atom_site_fract_y
_atom_site_fract_z
_atom_site_occupancy
Sc1 Sc 0.0000 0.0000 0.0000 1
Fe1 Fe 0.2500 0.2500 0.7500 1
Cu1 Cu 0.0000 0.0000 0.5000 1
Si1 Si 0.2500 0.2500 0.2500 1
```

- Calculated total energy: -5.965 eV/atom
- Spin magnetization: 2.11 μB per formula unit
- Crystal system: cubic
- Calculated volume: 231 Å³/cell

=====

[6]
# SmAsIr

SmAsIr after structural relaxation (PBE-GGA, OQMD).

The structure in CIF format:
```
data_SmAsIr
_symmetry_space_group_name_H-M 'F -4 3 m'
_symmetry_Int_Tables_number 216
_symmetry_space_group_name_Hall 'F -4 2 3'
_cell_length_a 6.4564
_cell_length_b 6.4564
_cell_length_c 6.4564
_cell_angle_alpha 90.00
_cell_angle_beta 90.00
_cell_angle_gamma 90.00
loop_
_atom_site_label
_atom_site_type_symbol
_atom_site_fract_x
_atom_site_fract_y
_atom_site_fract_z
_atom_site_occupancy
Sm1 Sm 0.0000 0.0000 0.0000 1
As1 As 0.0000 0.0000 0.5000 1
Ir1 Ir 0.2500 0.2500 0.2500 1
```

- Calculated total energy: -6.719 eV/atom
- Spin magnetization: 0.00 μB per formula unit
- Crystal system: cubic
- Calculated volume: 269 Å³/cell

=====

[7]
# LuHgSO

LuHgSO after structural relaxation (PBE-GGA, OQMD).

The structure in CIF format:
```
data_LuHgSO
_symmetry_space_group_name_H-M 'P 1 21 1'
_symmetry_Int_Tables_number 4
_cell_length_a 5.4521
_cell_length_b 5.4570
_cell_length_c 12.9599
_cell_angle_alpha 90.00
_cell_angle_beta 91.36
_cell_angle_gamma 90.00
loop_
_symmetry_equiv_pos_as_xyz
'x,y,z'
'-x,y+1/2,-z'
loop_
_atom_site_label
_atom_site_type_symbol
_atom_site_fract_x
_atom_site_fract_y
_atom_site_fract_z
_atom_site_occupancy
Lu1 Lu 0.0025 0.0000 0.0802 1
Lu2 Lu 0.4963 0.0009 0.9186 1
Hg1 Hg 0.1462 0.2746 0.4972 1
Hg2 Hg 0.4997 0.0145 0.2656 1
S1 S 0.1965 0.3158 0.2344 1
S2 S 0.2002 0.2128 0.7622 1
O1 O 0.2501 0.7496 0.0000 1
O2 O 0.2536 0.2483 0.0000 1
```

- Calculated total energy: -5.358 eV/atom
- Spin magnetization: 0.00 μB per formula unit
- Crystal system: monoclinic
- Calculated volume: 385 Å³/cell

=====

[8]
# MgCuReSb

MgCuReSb after structural relaxation (PBE-GGA, OQMD).

The structure in CIF format:
```
data_MgCuReSb
_symmetry_space_group_name_H-M 'F -4 3 m'
_symmetry_Int_Tables_number 216
_symmetry_space_group_name_Hall 'F -4 2 3'
_cell_length_a 6.4268
_cell_length_b 6.4268
_cell_length_c 6.4268
_cell_angle_alpha 90.00
_cell_angle_beta 90.00
_cell_angle_gamma 90.00
loop_
_atom_site_label
_atom_site_type_symbol
_atom_site_fract_x
_atom_site_fract_y
_atom_site_fract_z
_atom_site_occupancy
Mg1 Mg 0.0000 0.0000 0.0000 1
Cu1 Cu 0.2500 0.2500 0.7500 1
Re1 Re 0.2500 0.2500 0.2500 1
Sb1 Sb 0.0000 0.0000 0.5000 1
```

- Calculated total energy: -5.017 eV/atom
- Spin magnetization: 0.00 μB per formula unit
- Crystal system: cubic
- Calculated volume: 265 Å³/cell

=====

[9]
# ScTlZnCu

ScTlZnCu after structural relaxation (PBE-GGA, OQMD).

The structure in CIF format:
```
data_ScTlZnCu
_symmetry_space_group_name_H-M 'F -4 3 m'
_symmetry_Int_Tables_number 216
_symmetry_space_group_name_Hall 'F -4 2 3'
_cell_length_a 6.5877
_cell_length_b 6.5877
_cell_length_c 6.5877
_cell_angle_alpha 90.00
_cell_angle_beta 90.00
_cell_angle_gamma 90.00
loop_
_atom_site_label
_atom_site_type_symbol
_atom_site_fract_x
_atom_site_fract_y
_atom_site_fract_z
_atom_site_occupancy
Sc1 Sc 0.0000 0.0000 0.0000 1
Tl1 Tl 0.0000 0.0000 0.5000 1
Zn1 Zn 0.2500 0.2500 0.2500 1
Cu1 Cu 0.2500 0.2500 0.7500 1
```

- Calculated total energy: -3.518 eV/atom
- Spin magnetization: 0.00 μB per formula unit
- Crystal system: cubic
- Calculated volume: 286 Å³/cell

=====

[10]
# La2TlCd

La2TlCd after structural relaxation (PBE-GGA, OQMD).

The structure in CIF format:
```
data_La2TlCd
_symmetry_space_group_name_H-M 'F m -3 m'
_symmetry_Int_Tables_number 225
_symmetry_space_group_name_Hall '-F 4 2 3'
_cell_length_a 7.9088
_cell_length_b 7.9088
_cell_length_c 7.9088
_cell_angle_alpha 90.00
_cell_angle_beta 90.00
_cell_angle_gamma 90.00
loop_
_atom_site_label
_atom_site_type_symbol
_atom_site_fract_x
_atom_site_fract_y
_atom_site_fract_z
_atom_site_occupancy
La1 La 0.2500 0.2500 0.2500 1
Tl1 Tl 0.0000 0.0000 0.0000 1
Cd1 Cd 0.0000 0.0000 0.5000 1
```

- Calculated total energy: -3.671 eV/atom
- Spin magnetization: 0.68 μB per formula unit
- Crystal system: cubic
- Calculated volume: 495 Å³/cell

=====

[11]
# PmBTe

PmBTe after structural relaxation (PBE-GGA, OQMD).

The structure in CIF format:
```
data_PmBTe
_symmetry_space_group_name_H-M 'F -4 3 m'
_symmetry_Int_Tables_number 216
_symmetry_space_group_name_Hall 'F -4 2 3'
_cell_length_a 6.9555
_cell_length_b 6.9555
_cell_length_c 6.9555
_cell_angle_alpha 90.00
_cell_angle_beta 90.00
_cell_angle_gamma 90.00
loop_
_atom_site_label
_atom_site_type_symbol
_atom_site_fract_x
_atom_site_fract_y
_atom_site_fract_z
_atom_site_occupancy
Pm1 Pm 0.0000 0.0000 0.0000 1
B1 B 0.0000 0.0000 0.5000 1
Te1 Te 0.2500 0.2500 0.7500 1
```

- Calculated total energy: -4.232 eV/atom
- Spin magnetization: 0.00 μB per formula unit
- Crystal system: cubic
- Calculated volume: 336 Å³/cell

=====

[12]
# SmGdSn

SmGdSn after structural relaxation (PBE-GGA, OQMD).

The structure in CIF format:
```
data_SmGdSn
_symmetry_space_group_name_H-M 'F -4 3 m'
_symmetry_Int_Tables_number 216
_symmetry_space_group_name_Hall 'F -4 2 3'
_cell_length_a 7.3663
_cell_length_b 7.3663
_cell_length_c 7.3663
_cell_angle_alpha 90.00
_cell_angle_beta 90.00
_cell_angle_gamma 90.00
loop_
_atom_site_label
_atom_site_type_symbol
_atom_site_fract_x
_atom_site_fract_y
_atom_site_fract_z
_atom_site_occupancy
Sm1 Sm 0.0000 0.0000 0.0000 1
Gd1 Gd 0.0000 0.0000 0.5000 1
Sn1 Sn 0.2500 0.2500 0.7500 1
```

- Calculated total energy: -4.881 eV/atom
- Spin magnetization: 0.04 μB per formula unit
- Crystal system: cubic
- Calculated volume: 400 Å³/cell